# 1
A plane-wave DFT calculation with GGA-PBE was carried out for a geometry-optimized Y4ErSc4 structure.

Cell lengths 8.7091, 8.7091, 8.9835 Å; angles 107.21, 107.21, 23.44 degrees
With the nearest neighbours (Å) after each atom.
Sites, in units of the cell vectors:
Y: 0.1604 0.1604 0.4378  3 Sc 3.31-3.35, 6 Y 3.41-3.62, 2 Er 3.44
Y: 0.3028 0.3028 0.1957  5 Sc 3.32-3.54, 5 Y 3.54-3.72, 1 Er 3.64
Y: 0.6972 0.6972 0.8043  5 Sc 3.32-3.54, 5 Y 3.54-3.72, 1 Er 3.64
Y: 0.8396 0.8396 0.5622  3 Sc 3.31-3.35, 6 Y 3.41-3.62, 2 Er 3.44
Er: 0.5000 0.5000 0.5000  4 Sc 3.37, 6 Y 3.44-3.64, 2 Er 3.54
Sc: 0.0221 0.0221 0.8299  5 Sc 3.12-3.36, 1 Y 3.31, 2 Er 3.37
Sc: 0.3763 0.3763 0.8924  4 Sc 3.12-3.24, 5 Y 3.32-3.41
Sc: 0.6237 0.6237 0.1076  4 Sc 3.12-3.24, 5 Y 3.32-3.41
Sc: 0.9779 0.9779 0.1701  5 Sc 3.12-3.36, 1 Y 3.31, 2 Er 3.37

ΔE to the lowest computed polymorph	0.000	eV per atom
E_form	0.034	eV per atom
crystal system	monoclinic
raw total energy	-6.160	eV/atom


# 2
A plane-wave DFT calculation with GGA-PBE was carried out for a geometry-optimized WBr structure.

Cell lengths 10.9557, 10.9557, 3.2797 Å; angles 90.00, 90.00, 90.00 degrees
With the nearest neighbours (Å) after each atom.
Sites, in units of the cell vectors:
W: 0.0794 0.6020 0.0000  5 W 2.61-2.83, 3 Br 2.71-2.89
W: 0.1124 0.4192 0.5000  4 W 2.61-2.68, 3 Br 2.75-2.77
W: 0.3980 0.0794 0.0000  5 W 2.61-2.83, 3 Br 2.71-2.89
W: 0.4192 0.8876 0.5000  4 W 2.61-2.68, 3 Br 2.75-2.77
W: 0.5808 0.1124 0.5000  4 W 2.61-2.68, 3 Br 2.75-2.77
W: 0.6020 0.9206 0.0000  5 W 2.61-2.83, 3 Br 2.71-2.89
W: 0.8876 0.5808 0.5000  4 W 2.61-2.68, 3 Br 2.75-2.77
W: 0.9206 0.3980 0.0000  5 W 2.61-2.83, 3 Br 2.71-2.89
Br: 0.0238 0.7914 0.5000  3 W 2.71-2.75
Br: 0.2086 0.0238 0.5000  3 W 2.71-2.75
Br: 0.2910 0.3201 0.0000  3 W 2.77-2.89
Br: 0.3201 0.7090 0.0000  3 W 2.77-2.89
Br: 0.6799 0.2910 0.0000  3 W 2.77-2.89
Br: 0.7090 0.6799 0.0000  3 W 2.77-2.89
Br: 0.7914 0.9762 0.5000  3 W 2.71-2.75
Br: 0.9762 0.2086 0.5000  3 W 2.71-2.75

ΔE to the lowest computed polymorph	0.048	eV per atom
crystal system	tetragonal
raw total energy	-7.183	eV/atom


# 3
A plane-wave DFT calculation with GGA-PBE was carried out for a geometry-optimized TiCuI2N structure.

Cell lengths 5.6551, 5.6551, 3.7456 Å; angles 90.00, 90.00, 90.00 degrees
With the nearest neighbours (Å) after each atom.
Sites, in units of the cell vectors:
Ti: 0.0000 0.0000 0.0000  2 N 1.87
Cu: 0.5000 0.5000 0.5000  8 I 3.39, 2 Cu 3.75
I: 0.0000 0.5000 0.0000  2 Ti 2.83
I: 0.5000 0.0000 0.0000  2 Ti 2.83
N: 0.0000 0.0000 0.5000  2 Ti 1.87

ΔE to the lowest computed polymorph	0.000	eV per atom
crystal system	tetragonal
raw total energy	-4.548	eV/atom


# 4
A plane-wave DFT calculation with GGA-PBE was carried out for a geometry-optimized CoTc2Ru structure.

Cell lengths 3.8034, 3.8034, 7.4197 Å; angles 90.00, 90.00, 90.00 degrees
With the nearest neighbours (Å) after each atom.
Sites, in units of the cell vectors:
Co: 0.0000 0.0000 0.0000  8 Tc 2.66-2.69, 4 Ru 2.66
Co: 0.5000 0.5000 0.5000  8 Tc 2.66-2.69, 4 Ru 2.66
Tc: 0.0000 0.0000 0.5000  4 Tc 2.66, 4 Ru 2.66, 4 Co 2.69
Tc: 0.0000 0.5000 0.2500  4 Co 2.66, 4 Tc 2.66, 4 Ru 2.69
Tc: 0.5000 0.0000 0.7500  4 Tc 2.66, 4 Co 2.66, 4 Ru 2.69
Tc: 0.5000 0.5000 0.0000  4 Tc 2.66, 4 Ru 2.66, 4 Co 2.69
Ru: 0.0000 0.5000 0.7500  4 Co 2.66, 8 Tc 2.66-2.69
Ru: 0.5000 0.0000 0.2500  4 Co 2.66, 8 Tc 2.66-2.69

ΔE to the lowest computed polymorph	0.105	eV per atom
E_form	0.070	eV per atom
crystal system	tetragonal
raw total energy	-9.209	eV/atom


# 5
A plane-wave DFT calculation with GGA-PBE was carried out for a geometry-optimized TaFe2SiTe structure.

Cell lengths 4.2229, 4.2229, 4.7754 Å; angles 90.00, 90.00, 90.00 degrees
With the nearest neighbours (Å) after each atom.
Sites, in units of the cell vectors:
Ta: 0.0000 0.0000 0.0000  2 Si 2.39
Fe: 0.0000 0.5000 0.5000  2 Si 2.11
Fe: 0.5000 0.0000 0.5000  2 Si 2.11
Si: 0.0000 0.0000 0.5000  4 Fe 2.11
Te: 0.5000 0.5000 0.0000  4 Ta 2.99, 8 Fe 3.19

crystal system	tetragonal
raw total energy	-6.811	eV/atom


# 6
A plane-wave DFT calculation with GGA-PBE was carried out for a geometry-optimized YEr3Tm6Sc2 structure.

Cell lengths 5.9971, 5.9971, 11.4760 Å; angles 95.00, 95.00, 119.95 degrees
With the nearest neighbours (Å) after each atom.
Sites, in units of the cell vectors:
Y: 0.0000 0.0000 0.0000  6 Tm 3.43, 6 Sc 3.46
Er: 0.1669 0.8331 0.5000  6 Er 3.46-3.47, 6 Tm 3.49-3.51
Er: 0.5000 0.5000 0.5000  6 Er 3.46-3.47, 6 Tm 3.49-3.50
Er: 0.8331 0.1669 0.5000  6 Er 3.46-3.47, 6 Tm 3.49-3.51
Tm: 0.0823 0.4184 0.2460  2 Sc 3.42, 1 Y 3.43, 6 Tm 3.45-3.49, 3 Er 3.49-3.50
Tm: 0.2540 0.2540 0.7541  2 Sc 3.42, 1 Y 3.43, 6 Tm 3.45-3.49, 3 Er 3.49-3.51
Tm: 0.4184 0.0823 0.2460  2 Sc 3.42, 1 Y 3.43, 6 Tm 3.45-3.49, 3 Er 3.49-3.50
Tm: 0.5816 0.9177 0.7540  2 Sc 3.42, 1 Y 3.43, 6 Tm 3.45-3.49, 3 Er 3.49-3.50
Tm: 0.7460 0.7460 0.2459  2 Sc 3.42, 1 Y 3.43, 6 Tm 3.45-3.49, 3 Er 3.49-3.51
Tm: 0.9177 0.5816 0.7540  2 Sc 3.42, 1 Y 3.43, 6 Tm 3.45-3.49, 3 Er 3.49-3.50
Sc: 0.3332 0.6668 0.0000  6 Tm 3.42, 3 Y 3.46, 3 Sc 3.46
Sc: 0.6668 0.3332 0.0000  6 Tm 3.42, 3 Y 3.46, 3 Sc 3.46

E_form	0.040	eV per atom
crystal system	monoclinic
raw total energy	-4.930	eV/atom


# 7
A plane-wave DFT calculation with GGA-PBE was carried out for a geometry-optimized TlIr2W structure.

Cell lengths 2.8953, 2.8953, 27.8618 Å; angles 90.00, 90.00, 120.00 degrees
With the nearest neighbours (Å) after each atom.
Sites, in units of the cell vectors:
Tl: 0.0000 0.0000 0.0000  6 Tl 2.90, 3 Ir 2.91, 3 W 3.06
Tl: 0.3333 0.6667 0.6667  6 Tl 2.90, 3 Ir 2.91, 3 W 3.06
Tl: 0.6667 0.3333 0.3333  6 Tl 2.90, 3 Ir 2.91, 3 W 3.06
Ir: 0.0000 0.0000 0.2479  9 Ir 2.80-2.90, 3 Tl 2.91
Ir: 0.0000 0.0000 0.5005  3 W 2.68, 9 Ir 2.80-2.90
Ir: 0.3333 0.6667 0.1672  3 W 2.68, 9 Ir 2.80-2.90
Ir: 0.3333 0.6667 0.9145  9 Ir 2.80-2.90, 3 Tl 2.91
Ir: 0.6667 0.3333 0.5812  9 Ir 2.80-2.90, 3 Tl 2.91
Ir: 0.6667 0.3333 0.8338  3 W 2.68, 9 Ir 2.80-2.90
W: 0.0000 0.0000 0.7588  3 Ir 2.68, 6 W 2.90
W: 0.3333 0.6667 0.4254  3 Ir 2.68, 6 W 2.90
W: 0.6667 0.3333 0.0921  3 Ir 2.68, 6 W 2.90

ΔE to the lowest computed polymorph	0.432	eV per atom
E_form	0.502	eV per atom
crystal system	trigonal
raw total energy	-7.758	eV/atom


# 8
A plane-wave DFT calculation with GGA-PBE was carried out for a geometry-optimized CoTePb structure.

Cell lengths 3.2634, 3.2634, 13.0969 Å; angles 90.00, 90.00, 90.00 degrees
With the nearest neighbours (Å) after each atom.
Sites, in units of the cell vectors:
Co: 0.0000 0.0000 0.0000  4 Te 2.60
Co: 0.5000 0.5000 0.5000  4 Te 2.60
Te: 0.0000 0.0000 0.4086  4 Co 2.60
Te: 0.5000 0.5000 0.9086  4 Co 2.60
Pb: 0.0000 0.0000 0.6572  4 Co 3.09, 1 Te 3.26, 4 Pb 3.26
Pb: 0.5000 0.5000 0.1572  4 Co 3.09, 1 Te 3.26, 4 Pb 3.26

ΔE to the lowest computed polymorph	0.088	eV per atom
crystal system	tetragonal
raw total energy	-4.499	eV/atom


# 9
A plane-wave DFT calculation with GGA-PBE was carried out for a geometry-optimized Na3MgO structure.

Cell lengths 5.6705, 5.6705, 5.6705 Å; angles 90.00, 90.00, 90.00 degrees
With the nearest neighbours (Å) after each atom.
Sites, in units of the cell vectors:
Na: 0.0000 0.0000 0.5000  2 Mg 2.84
Na: 0.0000 0.5000 0.0000  2 Mg 2.84
Na: 0.5000 0.0000 0.0000  2 Mg 2.84
Mg: 0.0000 0.0000 0.0000  6 Na 2.84
O: 0.5000 0.5000 0.5000  12 Na 4.01

ΔE to the lowest computed polymorph	1.141	eV per atom
crystal system	cubic
raw total energy	-1.456	eV/atom


# 10
A plane-wave DFT calculation with GGA-PBE was carried out for a geometry-optimized LiAc2AsS6 structure.

Cell lengths 6.6207, 6.6207, 6.9869 Å; angles 117.98, 117.98, 59.96 degrees
With the nearest neighbours (Å) after each atom.
Sites, in units of the cell vectors:
Li: 0.0000 0.0000 0.0000  6 S 2.50-2.56
Ac: 0.2420 0.2420 0.7372  7 S 3.01-3.36
Ac: 0.7580 0.7580 0.2628  7 S 3.01-3.36
As: 0.5000 0.5000 0.5000  6 S 2.36-2.45
S: 0.1995 0.6983 0.6849  1 As 2.36, 1 Li 2.56
S: 0.2571 0.2571 0.1807  1 As 2.45, 1 Li 2.50
S: 0.3017 0.8005 0.3151  1 As 2.36, 1 Li 2.56
S: 0.6983 0.1995 0.6849  1 As 2.36, 1 Li 2.56
S: 0.7429 0.7429 0.8193  1 As 2.45, 1 Li 2.50
S: 0.8005 0.3017 0.3151  1 As 2.36, 1 Li 2.56

crystal system	monoclinic
raw total energy	-5.160	eV/atom


# 11
A plane-wave DFT calculation with GGA-PBE was carried out for a geometry-optimized Sm8Ni2Au structure.

Cell lengths 7.8725, 7.8725, 5.7755 Å; angles 98.81, 98.81, 115.47 degrees
With the nearest neighbours (Å) after each atom.
Sites, in units of the cell vectors:
Sm: 0.0000 0.0000 0.0000  1 Au 3.11, 2 Ni 3.26, 3 Sm 3.34-3.48
Sm: 0.0391 0.2937 0.5963  2 Ni 2.80-2.83
Sm: 0.1467 0.6086 0.1834  2 Ni 3.01-3.02, 1 Au 3.12
Sm: 0.2937 0.0391 0.5963  2 Ni 2.80-2.83
Sm: 0.4632 0.7187 0.7625  2 Ni 2.77-2.83
Sm: 0.6086 0.1467 0.1834  2 Ni 3.01-3.02, 1 Au 3.12
Sm: 0.7187 0.4632 0.7625  2 Ni 2.77-2.83
Sm: 0.7584 0.7584 0.3681  1 Au 3.09, 2 Ni 3.25, 3 Sm 3.34-3.45
Ni: 0.0816 0.6751 0.6825  6 Sm 2.77-3.02
Ni: 0.6751 0.0816 0.6825  6 Sm 2.77-3.02
Au: 0.3774 0.3774 0.2736  8 Sm 3.09-3.37

E_form	-0.157	eV per atom
crystal system	monoclinic
raw total energy	-4.938	eV/atom


# 12
A plane-wave DFT calculation with GGA-PBE was carried out for a geometry-optimized NaYGeCl6 structure.

Cell lengths 6.8706, 6.8706, 12.5640 Å; angles 90.00, 90.00, 120.00 degrees
With the nearest neighbours (Å) after each atom.
Sites, in units of the cell vectors:
Na: 0.0000 0.0000 0.0000  6 Cl 2.94
Na: 0.0000 0.0000 0.5000  6 Cl 2.94
Y: 0.3333 0.6667 0.2500  6 Cl 2.66
Y: 0.6667 0.3333 0.7500  6 Cl 2.66
Ge: 0.3333 0.6667 0.7500  6 Cl 2.69
Ge: 0.6667 0.3333 0.2500  6 Cl 2.69
Cl: 0.0037 0.3548 0.1318  1 Y 2.66, 1 Ge 2.69, 1 Na 2.94
Cl: 0.0037 0.6489 0.3682  1 Y 2.66, 1 Ge 2.69, 1 Na 2.94
Cl: 0.3511 0.3548 0.3682  1 Y 2.66, 1 Ge 2.69, 1 Na 2.94
Cl: 0.3511 0.9963 0.1318  1 Y 2.66, 1 Ge 2.69, 1 Na 2.94
Cl: 0.3548 0.0037 0.6318  1 Y 2.66, 1 Ge 2.69, 1 Na 2.94
Cl: 0.3548 0.3511 0.8682  1 Y 2.66, 1 Ge 2.69, 1 Na 2.94
Cl: 0.6452 0.6489 0.1318  1 Y 2.66, 1 Ge 2.69, 1 Na 2.94
Cl: 0.6452 0.9963 0.3682  1 Y 2.66, 1 Ge 2.69, 1 Na 2.94
Cl: 0.6489 0.0037 0.8682  1 Y 2.66, 1 Ge 2.69, 1 Na 2.94
Cl: 0.6489 0.6452 0.6318  1 Y 2.66, 1 Ge 2.69, 1 Na 2.94
Cl: 0.9963 0.3511 0.6318  1 Y 2.66, 1 Ge 2.69, 1 Na 2.94
Cl: 0.9963 0.6452 0.8682  1 Y 2.66, 1 Ge 2.69, 1 Na 2.94

crystal system	trigonal
raw total energy	-4.291	eV/atom